Here is an optimized crystal structure of CeDyMg17 from the Alexandria database. Energies are from GGA-PBE.

Cell: 7.7877 7.7877 7.7877 Å, 82.19 82.19 82.19°
With the nearest neighbours (Å) after each atom.
Positions (direct):
1 Mg 0.9968 0.5026 0.9968  10 Mg 2.98-3.15
2 Mg 0.8449 0.3502 0.3502  9 Mg 2.92-3.23
3 Mg 0.9020 0.9020 0.9020  7 Mg 3.02-3.31
4 Mg 0.0017 0.3029 0.6953  8 Mg 2.98-3.18
5 Mg 0.1653 0.6467 0.6467  8 Mg 2.92-3.18
6 Mg 0.9968 0.9968 0.5026  10 Mg 2.98-3.15
7 Mg 0.5026 0.9968 0.9968  10 Mg 2.98-3.15
8 Mg 0.3502 0.3502 0.8449  9 Mg 2.92-3.23
9 Mg 0.3029 0.0017 0.6953  8 Mg 2.98-3.18
10 Mg 0.1003 0.1003 0.1003  7 Mg 3.02-3.23
11 Mg 0.6953 0.3029 0.0017  8 Mg 2.98-3.18
12 Mg 0.3029 0.6953 0.0017  8 Mg 2.98-3.18
13 Mg 0.3502 0.8449 0.3502  9 Mg 2.92-3.23
14 Ce 0.6687 0.6687 0.6687  16 Mg 3.55-3.83
15 Mg 0.0017 0.6953 0.3029  8 Mg 2.98-3.18
16 Mg 0.6467 0.1653 0.6467  8 Mg 2.92-3.18
17 Dy 0.3291 0.3291 0.3291  16 Mg 3.48-3.89
18 Mg 0.6467 0.6467 0.1653  8 Mg 2.92-3.18
19 Mg 0.6953 0.0017 0.3029  8 Mg 2.98-3.18

Values from the calculation:
crystal system	trigonal
symmetry	No. 160
formation energy from the elements	-0.011	eV per atom

=====

Here is an optimized crystal structure of Ta2TlCd from the Alexandria database. Energies are from GGA-PBE.

Cell: 3.6619 3.6619 5.9191 Å, 90.00 90.00 90.00°
With the nearest neighbours (Å) after each atom.
Positions (direct):
1 Tl 0.5000 0.5000 0.2500  2 Cd 2.96, 8 Ta 2.96
2 Cd 0.5000 0.5000 0.7500  2 Tl 2.96, 8 Ta 3.00
3 Ta 0.0000 0.0000 0.4926  2 Ta 2.87-3.05, 4 Tl 2.96, 4 Cd 3.00
4 Ta 0.0000 0.0000 0.0074  2 Ta 2.87-3.05, 4 Tl 2.96, 4 Cd 3.00

Values from the calculation:
crystal system	tetragonal
symmetry	No. 123
formation energy from the elements	0.673	eV per atom

=====

Here is an optimized crystal structure of ThAs4 from the Alexandria database. Energies are from GGA-PBE.

Cell: 5.6109 5.6109 5.6109 Å, 90.00 90.00 90.00°
With the nearest neighbours (Å) after each atom.
Positions (direct):
1 As 0.0000 0.5000 0.5000  2 Th 2.81
2 As 0.5000 0.5000 0.0000  2 Th 2.81
3 As 0.0000 0.0000 0.0000  12 As 3.97
4 Th 0.5000 0.5000 0.5000  6 As 2.81
5 As 0.5000 0.0000 0.5000  2 Th 2.81

Values from the calculation:
crystal system	cubic
symmetry	No. 221
formation energy from the elements	0.824	eV per atom

=====

Here is an optimized crystal structure of Ac2Sn2Pt from the Alexandria database. Energies are from GGA-PBE.

Cell: 4.6383 6.4861 11.2698 Å, 84.81 78.12 69.05°
With the nearest neighbours (Å) after each atom.
Positions (direct):
1 Sn 0.0453 0.3220 0.5874  2 Pt 2.76, 1 Sn 2.87
2 Sn 0.6284 0.8588 0.8845  1 Pt 2.79, 1 Sn 3.10
3 Ac 0.7073 0.2305 0.3548  7 Sn 3.40-3.63, 4 Pt 3.43-3.78
4 Ac 0.2927 0.7695 0.6452  7 Sn 3.40-3.63, 4 Pt 3.43-3.78
5 Ac 0.9114 0.2897 0.8876  2 Pt 3.21, 6 Sn 3.31-3.53
6 Pt 0.5639 0.1750 0.6972  3 Sn 2.76-2.79
7 Ac 0.0886 0.7103 0.1124  2 Pt 3.21, 6 Sn 3.31-3.53
8 Sn 0.3716 0.1412 0.1155  1 Pt 2.79, 1 Sn 3.10
9 Sn 0.9547 0.6780 0.4126  2 Pt 2.76, 1 Sn 2.87
10 Pt 0.4361 0.8250 0.3028  3 Sn 2.76-2.79

Values from the calculation:
crystal system	monoclinic
symmetry	No. 12
formation energy from the elements	-0.869	eV per atom

=====

Here is an optimized crystal structure of Zr2IrRh6 from the Alexandria database. Energies are from GGA-PBE.

Cell: 2.9172 7.2259 7.9042 Å, 117.20 90.02 90.00°
With the nearest neighbours (Å) after each atom.
Positions (direct):
1 Ir 0.0000 0.0000 0.0000  8 Rh 2.59-2.70
2 Rh 0.9994 0.3487 0.3087  1 Ir 2.59, 2 Zr 2.70-2.71, 4 Rh 2.75-2.81
3 Zr 0.4992 0.6941 0.3883  8 Rh 2.70-2.94, 2 Zr 2.92
4 Rh 0.0006 0.0401 0.6913  1 Ir 2.59, 2 Zr 2.70-2.71, 4 Rh 2.75-2.81
5 Rh 0.5000 0.3141 0.0000  7 Rh 2.69-2.92, 2 Ir 2.70
6 Zr 0.5008 0.3059 0.6117  8 Rh 2.70-2.94, 2 Zr 2.92
7 Rh 0.9994 0.9599 0.3087  1 Ir 2.59, 2 Zr 2.70-2.71, 4 Rh 2.75-2.81
8 Rh 0.0006 0.6513 0.6913  1 Ir 2.59, 2 Zr 2.70-2.71, 4 Rh 2.75-2.81
9 Rh 0.5000 0.6859 0.0000  7 Rh 2.69-2.92, 2 Ir 2.70

Values from the calculation:
crystal system	orthorhombic
symmetry	No. 65
formation energy from the elements	-0.216	eV per atom

=====

Here is an optimized crystal structure of TcW2Br from the Alexandria database. Energies are from GGA-PBE.

Cell: 3.0355 4.5626 4.6777 Å, 90.00 90.00 90.00°
With the nearest neighbours (Å) after each atom.
Positions (direct):
1 Tc 0.0000 0.5000 0.5000  4 Br 2.74, 4 W 2.79, 2 Tc 3.04
2 W 0.5000 0.5000 0.0000  6 W 2.74-3.04, 4 Tc 2.79
3 Br 0.5000 0.0000 0.5000  4 Tc 2.74, 4 W 2.79, 2 Br 3.04
4 W 0.0000 0.0000 0.0000  6 W 2.74-3.04, 4 Br 2.79

Values from the calculation:
E above lowest polymorph	430	meV/atom
crystal system	orthorhombic
symmetry	No. 47
uncorrected formation energy	0.9493	eV/atom

=====

Here is an optimized crystal structure of ReNiSe from the Alexandria database. Energies are from GGA-PBE.

Cell: 7.0836 6.8235 2.7648 Å, 83.87 73.29 22.83°
With the nearest neighbours (Å) after each atom.
Positions (direct):
1 Re 0.3444 0.3444 0.6556  2 Ni 2.47, 4 Re 2.76
2 Se 0.6593 0.6593 0.3407  2 Ni 2.60, 6 Se 2.76-2.84, 2 Re 2.85
3 Ni 0.9962 0.9962 0.0038  2 Re 2.47, 2 Se 2.60, 4 Ni 2.76

Values from the calculation:
E above lowest polymorph	700	meV/atom
crystal system	orthorhombic
symmetry	No. 42
uncorrected formation energy	0.6110	eV/atom